Record 1
A relaxed structure of Ba3Np2S9, computed with PBE.

Unit cell a=9.165 b=9.165 c=9.165 alpha=82.41 beta=82.41 gamma=82.41
Atoms (fractional coordinates):
Ba 0.085 0.750 0.415
Ba 0.250 0.585 0.915
Ba 0.415 0.085 0.750
Ba 0.585 0.915 0.250
Ba 0.750 0.415 0.085
Ba 0.915 0.250 0.585
Np 0.154 0.154 0.154
Np 0.346 0.346 0.346
Np 0.654 0.654 0.654
Np 0.846 0.846 0.846
S 0.082 0.263 0.910
S 0.084 0.416 0.250
S 0.090 0.918 0.737
S 0.237 0.418 0.590
S 0.250 0.084 0.416
S 0.263 0.910 0.082
S 0.410 0.763 0.582
S 0.416 0.250 0.084
S 0.418 0.590 0.237
S 0.582 0.410 0.763
S 0.584 0.750 0.916
S 0.590 0.237 0.418
S 0.737 0.090 0.918
S 0.750 0.916 0.584
S 0.763 0.582 0.410
S 0.910 0.082 0.263
S 0.916 0.584 0.750
S 0.918 0.737 0.090

Computed properties:
Its uncorrected energy is -88.55 eV per formula unit.


Record 2
A relaxed structure of La2EuRu, computed with PBE.

Unit cell a=10.066 b=10.066 c=10.066 alpha=23.64 beta=23.64 gamma=23.64
Atoms (fractional coordinates):
La 0.219 0.219 0.219
La 0.781 0.781 0.781
Eu 0.000 0.000 0.000
Ru 0.500 0.500 0.500

Computed properties:
The formation energy is -0.15 eV per atom. Its uncorrected energy is -30.01 eV per formula unit. Its relative energy among the computed polymorphs is 0.000 eV/atom.


Record 3
A relaxed structure of Pr3TmHg2, computed with PBE.

Unit cell a=5.332 b=9.665 c=7.027 alpha=90.00 beta=90.00 gamma=90.00
Atoms (fractional coordinates):
Pr 0.000 0.050 0.000
Pr 0.000 0.332 0.329
Pr 0.000 0.668 0.829
Pr 0.000 0.950 0.500
Pr 0.500 0.179 0.692
Pr 0.500 0.821 0.192
Tm 0.500 0.450 0.027
Tm 0.500 0.550 0.527
Hg 0.000 0.351 0.790
Hg 0.000 0.649 0.290
Hg 0.500 0.155 0.237
Hg 0.500 0.845 0.737

Computed properties:
The formation energy is -0.32 eV per atom. Its uncorrected energy is -21.33 eV per formula unit. Its relative energy among the computed polymorphs is 0.000 eV/atom.


Record 4
A relaxed structure of PmNd7Tl4, computed with PBE.

Unit cell a=8.041 b=8.041 c=10.645 alpha=120.48 beta=120.48 gamma=43.16
Atoms (fractional coordinates):
Pm 0.000 0.000 0.000
Nd 0.061 0.061 0.393
Nd 0.204 0.204 0.881
Nd 0.275 0.275 0.338
Nd 0.500 0.500 0.000
Nd 0.725 0.725 0.662
Nd 0.796 0.796 0.119
Nd 0.939 0.939 0.607
Tl 0.313 0.313 0.667
Tl 0.443 0.443 0.253
Tl 0.557 0.557 0.747
Tl 0.687 0.687 0.333

Computed properties:
The formation energy is -0.08 eV per atom. Its uncorrected energy is -48.51 eV per formula unit.


Record 5
A relaxed structure of SrBeZnH6, computed with PBE.

Unit cell a=4.603 b=4.603 c=4.999 alpha=90.00 beta=90.00 gamma=120.00
Atoms (fractional coordinates):
Sr 0.000 0.000 0.000
Be 0.667 0.333 0.500
Zn 0.333 0.667 0.500
H 0.401 0.028 0.696
H 0.401 0.374 0.304
H 0.626 0.028 0.304
H 0.626 0.599 0.696
H 0.972 0.374 0.696
H 0.972 0.599 0.304

Computed properties:
Its uncorrected energy is -27.61 eV per formula unit.


Record 6
A relaxed structure of Li3Ca2AlCu12, computed with PBE.

Unit cell a=6.510 b=6.510 c=6.510 alpha=83.58 beta=83.58 gamma=83.58
Atoms (fractional coordinates):
Li 0.000 0.500 0.500
Li 0.500 0.000 0.500
Li 0.500 0.500 0.000
Ca 0.227 0.227 0.227
Ca 0.773 0.773 0.773
Al 0.500 0.500 0.500
Cu 0.070 0.070 0.657
Cu 0.070 0.657 0.070
Cu 0.234 0.701 0.701
Cu 0.299 0.299 0.766
Cu 0.299 0.766 0.299
Cu 0.343 0.930 0.930
Cu 0.657 0.070 0.070
Cu 0.701 0.234 0.701
Cu 0.701 0.701 0.234
Cu 0.766 0.299 0.299
Cu 0.930 0.343 0.930
Cu 0.930 0.930 0.343

Computed properties:
The formation energy is 0.01 eV per atom. Its uncorrected energy is -62.41 eV per formula unit.